(1)
{"formula": "Er2Al2Cu15", "functional": "GGA-PBE", "state": "relaxed", "lattice": [[6.4933, 0.0217, 0.0193], [0.8639, 6.4356, 0.0193], [0.8639, 0.7582, 6.3908]], "species": ["Al", "Al", "Cu", "Cu", "Cu", "Cu", "Cu", "Cu", "Cu", "Cu", "Cu", "Cu", "Cu", "Cu", "Cu", "Cu", "Cu", "Er", "Er"], "fractional_positions": [[0.1042, 0.1042, 0.1042], [0.8958, 0.8958, 0.8958], [0.2982, 0.0000, 0.7018], [0.0000, 0.7018, 0.2982], [0.1527, 0.6510, 0.6510], [0.0000, 0.0000, 0.5000], [0.2982, 0.7018, 0.0000], [0.5000, 0.0000, 0.0000], [0.7018, 0.0000, 0.2982], [0.0000, 0.2982, 0.7018], [0.6510, 0.6510, 0.1527], [0.8473, 0.3490, 0.3490], [0.3490, 0.3490, 0.8473], [0.6510, 0.1527, 0.6510], [0.3490, 0.8473, 0.3490], [0.0000, 0.5000, 0.0000], [0.7018, 0.2982, 0.0000], [0.6494, 0.6494, 0.6494], [0.3506, 0.3506, 0.3506]], "e_tot_ev_per_atom": -4.2867, "formation_energy_ev_per_atom": -0.18}

***

(2)
{"formula": "ErAl9Cu2", "functional": "GGA-PBE", "state": "relaxed", "lattice": [[-4.4974, 5.3586, 1.0982], [-7.4362, -0.8118, -3.6602], [-4.8925, -0.7984, 6.6917]], "species": ["Al", "Al", "Al", "Al", "Al", "Al", "Al", "Al", "Al", "Al", "Al", "Al", "Al", "Al", "Al", "Al", "Al", "Al", "Cu", "Cu", "Cu", "Cu", "Er", "Er"], "fractional_positions": [[0.4332, 0.4229, 0.8225], [0.1439, 0.4229, 0.1775], [0.6785, 0.1775, 0.5771], [0.0715, 0.9229, 0.3225], [0.0057, 0.6775, 0.9229], [0.1439, 0.1775, 0.4229], [0.6785, 0.5771, 0.1775], [0.7443, 0.8225, 0.5771], [0.4332, 0.8225, 0.4229], [0.0715, 0.3225, 0.9229], [0.0000, 0.0000, 0.0000], [0.0057, 0.9229, 0.6775], [0.6061, 0.3225, 0.0771], [0.3168, 0.6775, 0.0771], [0.3168, 0.0771, 0.6775], [0.6061, 0.0771, 0.3225], [0.7443, 0.5771, 0.8225], [0.7500, 0.5000, 0.5000], [0.8750, 0.2500, 0.2500], [0.3750, 0.7500, 0.7500], [0.8750, 0.2500, 0.7500], [0.8750, 0.7500, 0.2500], [0.2500, 0.5000, 0.5000], [0.5000, 0.0000, 0.0000]], "e_tot_ev_per_atom": -4.0152, "formation_energy_ev_per_atom": -0.15}